Entry w
Density functional theory data (GGA-PBE) for a relaxed Tb3Er2Tm6 crystal.

POSCAR file:
```
Tb3Er2Tm6
1.0
3.501 0.000 0.215
1.744 3.036 0.215
-0.171 -0.099 31.433
Tb Er Tm
3 2 6
direct
0.000 0.000 0.000 Tb
0.728 0.728 0.817 Tb
0.272 0.272 0.183 Tb
0.545 0.545 0.364 Er
0.455 0.455 0.636 Er
0.909 0.909 0.274 Tm
0.091 0.091 0.726 Tm
0.818 0.818 0.545 Tm
0.182 0.182 0.455 Tm
0.636 0.636 0.091 Tm
0.364 0.364 0.909 Tm
```

Calculated values
total moment: 0.0 μB/cell
space-group type: No. 166
mass density: 9.07 Mg/m³

Entry x
Density functional theory data (GGA-PBE) for a relaxed Tb3Er2Tm6 crystal.

POSCAR file:
```
Tb3Er2Tm6
1.0
-4.135 2.140 -0.296
-1.047 -1.426 4.316
9.226 13.314 4.118
Tb Er Tm
3 2 6
direct
0.000 0.000 0.000 Tb
0.799 0.799 0.597 Tb
0.201 0.201 0.403 Tb
0.454 0.454 0.907 Er
0.546 0.546 0.093 Er
0.121 0.621 0.243 Tm
0.621 0.121 0.243 Tm
0.879 0.379 0.757 Tm
0.379 0.879 0.757 Tm
0.695 0.695 0.390 Tm
0.305 0.305 0.610 Tm
```

Calculated values
total moment: 0.0 μB/cell
space-group type: No. 139
mass density: 8.50 Mg/m³

Which structure is most stable? entry w, by 264 meV per atom over the runner-up.

Entry w
Density functional theory data (GGA-PBE) for a relaxed Tb7ErTm12 crystal.

POSCAR file:
```
Tb7ErTm12
1.0
9.058 0.000 -3.202
-4.529 7.844 -3.202
0.000 0.000 9.607
Tb Er Tm
7 1 12
direct
0.500 0.500 0.000 Tb
0.000 0.500 0.500 Tb
0.500 0.000 0.500 Tb
0.500 0.500 0.500 Tb
0.000 0.000 0.500 Tb
0.500 0.000 0.000 Tb
0.000 0.500 0.000 Tb
0.000 0.000 0.000 Er
0.504 0.752 0.752 Tm
0.000 0.752 0.248 Tm
0.496 0.248 0.248 Tm
0.000 0.248 0.752 Tm
0.752 0.000 0.248 Tm
0.752 0.504 0.752 Tm
0.248 0.000 0.752 Tm
0.248 0.496 0.248 Tm
0.752 0.752 0.504 Tm
0.248 0.248 0.496 Tm
0.752 0.248 0.000 Tm
0.248 0.752 0.000 Tm
```

Calculated values
total moment: 0.0 μB/cell
space-group type: No. 229
mass density: 8.04 Mg/m³

Entry x
Density functional theory data (GGA-PBE) for a relaxed Tb7ErTm12 crystal.

POSCAR file:
```
Tb7ErTm12
1.0
-2.067 -3.389 -7.600
-1.850 -7.054 4.508
-7.614 3.733 1.266
Tb Er Tm
7 1 12
direct
0.914 0.645 0.977 Tb
0.355 0.023 0.086 Tb
0.023 0.086 0.355 Tb
0.500 0.500 0.500 Tb
0.977 0.914 0.645 Tb
0.645 0.977 0.914 Tb
0.086 0.355 0.023 Tb
0.000 0.000 0.000 Er
0.816 0.251 0.687 Tm
0.749 0.313 0.184 Tm
0.484 0.149 0.419 Tm
0.851 0.581 0.516 Tm
0.313 0.184 0.749 Tm
0.581 0.516 0.851 Tm
0.419 0.484 0.149 Tm
0.687 0.816 0.251 Tm
0.149 0.419 0.484 Tm
0.516 0.851 0.581 Tm
0.251 0.687 0.816 Tm
0.184 0.749 0.313 Tm
```

Calculated values
total moment: 0.0 μB/cell
space-group type: No. 148
mass density: 8.82 Mg/m³

Which structure is most stable? entry x, by 426 meV per atom over the runner-up.

Entry w
Density functional theory data (GGA-PBE) for a relaxed Tb7Er3Tm crystal.

POSCAR file:
```
Tb7Er3Tm
1.0
-5.416 6.922 -1.144
2.746 -2.840 -9.016
-1.314 -5.195 1.233
Tb Er Tm
7 3 1
direct
0.915 0.830 0.915 Tb
0.819 0.641 0.319 Tb
0.647 0.292 0.147 Tb
0.353 0.708 0.853 Tb
0.500 0.000 0.500 Tb
0.181 0.359 0.681 Tb
0.085 0.170 0.085 Tb
0.220 0.000 0.720 Er
0.000 0.500 0.000 Er
0.780 0.000 0.280 Er
0.500 0.500 0.500 Tm
```

Calculated values
total moment: 0.0 μB/cell
space-group type: No. 10
mass density: 8.42 Mg/m³

Entry x
Density functional theory data (GGA-PBE) for a relaxed Tb7Er3Tm crystal.

POSCAR file:
```
Tb7Er3Tm
1.0
5.757 -0.160 -0.206
-2.631 7.871 1.067
-2.631 -0.873 7.895
Tb Er Tm
7 3 1
direct
0.210 0.209 0.209 Tb
0.305 0.013 0.598 Tb
0.695 0.402 0.987 Tb
0.305 0.598 0.013 Tb
0.000 0.500 0.500 Tb
0.695 0.987 0.402 Tb
0.790 0.791 0.791 Tb
0.000 0.794 0.206 Er
0.500 0.000 0.000 Er
0.000 0.206 0.794 Er
0.500 0.500 0.500 Tm
```

Calculated values
total moment: 0.3 μB/cell
space-group type: No. 12
mass density: 8.33 Mg/m³

Which structure is most stable? entry w, by 129 meV per atom over the runner-up.

Entry w
Density functional theory data (GGA-PBE) for a relaxed TbEr4Tm2 crystal.

POSCAR file:
```
TbEr4Tm2
1.0
-2.781 1.088 1.889
-0.406 -2.502 -2.462
3.731 -13.864 13.477
Tb Er Tm
1 4 2
direct
0.715 0.429 0.666 Tb
0.049 0.098 0.955 Er
0.380 0.761 0.522 Er
0.047 0.095 0.238 Er
0.382 0.764 0.811 Er
0.715 0.430 0.097 Tm
0.713 0.427 0.380 Tm
```

Calculated values
total moment: 0.0 μB/cell
space-group type: No. 8
mass density: 9.09 Mg/m³

Entry x
Density functional theory data (GGA-PBE) for a relaxed TbEr4Tm2 crystal.

POSCAR file:
```
TbEr4Tm2
1.0
-2.976 -4.198 -8.288
7.479 2.212 -2.896
-3.179 -5.608 5.248
Tb Er Tm
2 8 4
direct
0.980 0.863 0.666 Tb
0.270 0.434 0.381 Tb
0.906 0.173 0.194 Er
0.408 0.639 0.157 Er
0.843 0.499 0.731 Er
0.700 0.144 0.805 Er
0.200 0.823 0.986 Er
0.344 0.037 0.766 Er
0.550 0.856 0.946 Er
0.050 0.538 0.125 Er
0.480 0.245 0.550 Tm
0.770 0.818 0.264 Tm
0.625 0.489 0.364 Tm
0.125 0.190 0.565 Tm
```

Calculated values
total moment: 0.0 μB/cell
space-group type: No. 1
mass density: 9.02 Mg/m³

Which structure is most stable? entry w, by 72 meV per atom over the runner-up.